(1)
# CaCe2ErSe5, optimized geometry, DFT PBE
# - Formation energy from raw total energies: -1.44 eV/atom
data_CaCe2ErSe5
_cell_length_a 5.139
_cell_length_b 5.139
_cell_length_c 10.787
_cell_angle_alpha 90.00
_cell_angle_beta 90.00
_cell_angle_gamma 90.00
_space_group_name_H-M_alt 'P 4/m m m'
_space_group_IT_number 123
_space_group_name_Hall '-P 4 2'
loop_
_atom_site_label
_atom_site_type_symbol
_atom_site_fract_x
_atom_site_fract_y
_atom_site_fract_z
Ca1 Ca 0.000 0.000 0.000
Ce1 Ce 0.500 0.500 0.298
Er1 Er 0.000 0.000 0.500
Se1 Se 0.000 0.000 0.247
Se2 Se 0.000 0.500 0.500
Se3 Se 0.500 0.500 0.000

(2)
# Na3BeH5, optimized geometry, DFT PBE
# - VASP energy: -2.9496 eV/atom
data_Na3BeH5
_cell_length_a 6.436
_cell_length_b 6.436
_cell_length_c 9.521
_cell_angle_alpha 90.00
_cell_angle_beta 90.00
_cell_angle_gamma 90.00
_space_group_name_H-M_alt 'I 4/m c m'
_space_group_IT_number 140
_space_group_name_Hall '-I 4 2c'
loop_
_atom_site_label
_atom_site_type_symbol
_atom_site_fract_x
_atom_site_fract_y
_atom_site_fract_z
Na1 Na 0.000 0.000 0.250
Na2 Na 0.179 0.321 0.000
Be1 Be 0.000 0.500 0.250
H1 H 0.000 0.000 0.000
H2 H 0.127 0.373 0.339

(3)
# La2Te2H, optimized geometry, DFT PBE
# - VASP energy: -5.0748 eV/atom
data_La2Te2H
_cell_length_a 4.125
_cell_length_b 11.417
_cell_length_c 12.099
_cell_angle_alpha 90.00
_cell_angle_beta 90.00
_cell_angle_gamma 90.00
_space_group_name_H-M_alt 'C m c 21'
_space_group_IT_number 36
_space_group_name_Hall 'C 2c -2'
loop_
_atom_site_label
_atom_site_type_symbol
_atom_site_fract_x
_atom_site_fract_y
_atom_site_fract_z
La1 La 0.000 0.045 0.000
La2 La 0.000 0.230 0.245
Te1 Te 0.000 0.057 0.742
Te2 Te 0.000 0.326 0.955
H1 H 0.000 0.360 0.617

(4)
# InSi2Te, optimized geometry, DFT PBE
# - ΔE to the lowest computed polymorph: 246.4 meV per atom
# - Formation energy from raw total energies: 0.43 eV/atom
data_InSi2Te
_cell_length_a 2.996
_cell_length_b 3.925
_cell_length_c 7.944
_cell_angle_alpha 90.00
_cell_angle_beta 99.63
_cell_angle_gamma 90.00
_space_group_name_H-M_alt 'P 1 2/m 1'
_space_group_IT_number 10
_space_group_name_Hall '-P 2y'
loop_
_atom_site_label
_atom_site_type_symbol
_atom_site_fract_x
_atom_site_fract_y
_atom_site_fract_z
In1 In 0.000 0.000 0.000
Si1 Si 0.414 0.500 0.235
Te1 Te 0.500 0.000 0.500

(5)
# CoReSb3, optimized geometry, DFT PBE
# - ΔE to the lowest computed polymorph: 137.0 meV per atom
# - Formation energy from raw total energies: 1.26 eV/atom
data_CoReSb3
_cell_length_a 5.128
_cell_length_b 5.128
_cell_length_c 5.128
_cell_angle_alpha 90.00
_cell_angle_beta 90.00
_cell_angle_gamma 90.00
_space_group_name_H-M_alt 'P m -3 m'
_space_group_IT_number 221
_space_group_name_Hall '-P 4 2 3'
loop_
_atom_site_label
_atom_site_type_symbol
_atom_site_fract_x
_atom_site_fract_y
_atom_site_fract_z
Co1 Co 0.000 0.000 0.000
Re1 Re 0.500 0.500 0.500
Sb1 Sb 0.000 0.500 0.500

(6)
# Rb2LiSb, optimized geometry, DFT PBE
# - Formation energy from raw total energies: 0.05 eV/atom
data_Rb2LiSb
_cell_length_a 5.142
_cell_length_b 5.142
_cell_length_c 24.501
_cell_angle_alpha 90.00
_cell_angle_beta 90.00
_cell_angle_gamma 90.00
_space_group_name_H-M_alt 'I -4 2 d'
_space_group_IT_number 122
_space_group_name_Hall 'I -4 2bw'
loop_
_atom_site_label
_atom_site_type_symbol
_atom_site_fract_x
_atom_site_fract_y
_atom_site_fract_z
Rb1 Rb 0.245 0.250 0.125
Li1 Li 0.000 0.000 0.000
Sb1 Sb 0.000 0.000 0.500